(1)
12
Lattice="8.299 -1.280 0.000 0.316 6.621 0.000 0.000 0.000 5.455" Properties=species:S:1:pos:R:3 comment="PBE-GGA ZnTe, optimized geometry" sg="P2_1/m (11)" dft_energy_ev_per_atom=-2.254 pbc="T T T"
Te 2.083 0.871 0.000
Te 6.400 0.527 0.000
Te 3.836 4.590 0.000
Te 1.204 3.118 2.728
Te 5.522 2.773 2.728
Te 4.085 5.675 2.728
Zn 0.420 3.369 0.000
Zn 6.309 3.407 0.000
Zn 8.416 4.854 0.000
Zn 1.296 0.237 2.728
Zn 7.186 0.275 2.728
Zn 7.804 4.131 2.728

(2)
6
Lattice="4.361 0.000 0.000 -2.180 3.777 0.000 0.000 0.000 6.165" Properties=species:S:1:pos:R:3 comment="PBE-GGA ZrReSi, optimized geometry" m_tot_mub_per_cell=0.01 sg="P6_3mc (186)" dft_energy_ev_per_atom=-9.141 pbc="T T T"
Re 0.000 2.518 0.265
Re 2.180 1.259 3.348
Si 0.000 2.518 2.860
Si 2.180 1.259 5.942
Zr 0.000 0.000 1.499
Zr 0.000 0.000 4.581